1.
# Sm2Zn6Cu9 (PBE, optimized geometry)
data_Sm2Zn6Cu9
_symmetry_space_group_name_H-M 'P 6/m m m'
_symmetry_Int_Tables_number 191
_symmetry_space_group_name_Hall '-P 6 2'
_cell_length_a 5.1818
_cell_length_b 5.1818
_cell_length_c 12.3096
_cell_angle_alpha 90.00
_cell_angle_beta 90.00
_cell_angle_gamma 120.00
loop_
_atom_site_label
_atom_site_type_symbol
_atom_site_fract_x
_atom_site_fract_y
_atom_site_fract_z
_atom_site_occupancy
Sm1 Sm 0.0000 0.0000 0.1696 1
Zn1 Zn 0.3333 0.6667 0.1654 1
Zn2 Zn 0.3333 0.6667 0.5000 1
Cu1 Cu 0.0000 0.5000 0.0000 1
Cu2 Cu 0.0000 0.5000 0.3333 1
# Formation energy in meV per atom: -89

2.
# AcAl3Fe (PBE, optimized geometry)
data_AcAl3Fe
_symmetry_space_group_name_H-M 'P m -3 m'
_symmetry_Int_Tables_number 221
_symmetry_space_group_name_Hall '-P 4 2 3'
_cell_length_a 4.657
_cell_length_b 4.657
_cell_length_c 4.657
_cell_angle_alpha 90.00
_cell_angle_beta 90.00
_cell_angle_gamma 90.00
loop_
_atom_site_label
_atom_site_type_symbol
_atom_site_fract_x
_atom_site_fract_y
_atom_site_fract_z
_atom_site_occupancy
Ac1 Ac 0.000 0.000 0.000 1
Al1 Al 0.000 0.500 0.500 1
Fe1 Fe 0.500 0.500 0.500 1
# Formation energy in meV per atom: -342

3.
# Cs3Np3SnSe8 (PBE, optimized geometry)
data_Cs3Np3SnSe8
_symmetry_space_group_name_H-M 'R -3 m'
_symmetry_Int_Tables_number 166
_symmetry_space_group_name_Hall '-R 3 2"'
_cell_length_a 8.5786
_cell_length_b 8.5786
_cell_length_c 25.1086
_cell_angle_alpha 90.00
_cell_angle_beta 90.00
_cell_angle_gamma 120.00
loop_
_atom_site_label
_atom_site_type_symbol
_atom_site_fract_x
_atom_site_fract_y
_atom_site_fract_z
_atom_site_occupancy
Cs1 Cs 0.0000 0.5000 0.0000 1
Np1 Np 0.0000 0.5000 0.5000 1
Sn1 Sn 0.0000 0.0000 0.5000 1
Se1 Se 0.0000 0.0000 0.2278 1
Se2 Se 0.0168 0.5084 0.7729 1
# Formation energy from raw total energies in eV per atom: -1.123

4.
# Tl2Hg2Se (PBE, optimized geometry)
data_Tl2Hg2Se
_symmetry_space_group_name_H-M 'P 4/m b m'
_symmetry_Int_Tables_number 127
_symmetry_space_group_name_Hall '-P 4 2ab'
_cell_length_a 7.803
_cell_length_b 7.803
_cell_length_c 4.821
_cell_angle_alpha 90.00
_cell_angle_beta 90.00
_cell_angle_gamma 90.00
loop_
_atom_site_label
_atom_site_type_symbol
_atom_site_fract_x
_atom_site_fract_y
_atom_site_fract_z
_atom_site_occupancy
Tl1 Tl 0.175 0.325 0.000 1
Hg1 Hg 0.134 0.634 0.500 1
Se1 Se 0.000 0.000 0.500 1
# Formation energy from raw total energies in eV per atom: -0.069

5.
# PdS2Br (PBE, optimized geometry)
data_PdS2Br
_symmetry_space_group_name_H-M 'F m -3 m'
_symmetry_Int_Tables_number 225
_symmetry_space_group_name_Hall '-F 4 2 3'
_cell_length_a 6.553
_cell_length_b 6.553
_cell_length_c 6.553
_cell_angle_alpha 90.00
_cell_angle_beta 90.00
_cell_angle_gamma 90.00
loop_
_atom_site_label
_atom_site_type_symbol
_atom_site_fract_x
_atom_site_fract_y
_atom_site_fract_z
_atom_site_occupancy
Pd1 Pd 0.000 0.000 0.000 1
S1 S 0.250 0.250 0.250 1
Br1 Br 0.000 0.000 0.500 1
# Formation energy from raw total energies in eV per atom: 0.848

6.
# NaIrSeO5 (PBE, optimized geometry)
data_NaIrSeO5
_symmetry_space_group_name_H-M 'C 1 2/c 1'
_symmetry_Int_Tables_number 15
_cell_length_a 6.588
_cell_length_b 8.922
_cell_length_c 7.147
_cell_angle_alpha 90.00
_cell_angle_beta 105.69
_cell_angle_gamma 90.00
loop_
_symmetry_equiv_pos_as_xyz
'x,y,z'
'-x,-y,-z'
'-x,y,-z+1/2'
'x,-y,z+1/2'
'x+1/2,y+1/2,z'
'-x+1/2,-y+1/2,-z'
'-x+1/2,y+1/2,-z+1/2'
'x+1/2,-y+1/2,z+1/2'
loop_
_atom_site_label
_atom_site_type_symbol
_atom_site_fract_x
_atom_site_fract_y
_atom_site_fract_z
_atom_site_occupancy
Na1 Na 0.000 0.160 0.250 1
Ir1 Ir 0.000 0.500 0.000 1
Se1 Se 0.000 0.178 0.750 1
O1 O 0.000 0.414 0.250 1
O2 O 0.121 0.298 0.616 1
O3 O 0.217 0.083 0.975 1
# Formation energy from raw total energies in eV per atom: -0.804

7.
# La5S8 (PBE, optimized geometry)
data_La5S8
_symmetry_space_group_name_H-M 'I -4'
_symmetry_Int_Tables_number 82
_cell_length_a 8.768
_cell_length_b 8.768
_cell_length_c 8.716
_cell_angle_alpha 90.00
_cell_angle_beta 90.00
_cell_angle_gamma 90.00
loop_
_symmetry_equiv_pos_as_xyz
'x,y,z'
'y,-x,-z'
'-x,-y,z'
'-y,x,-z'
'x+1/2,y+1/2,z+1/2'
'y+1/2,-x+1/2,-z+1/2'
'-x+1/2,-y+1/2,z+1/2'
'-y+1/2,x+1/2,-z+1/2'
loop_
_atom_site_label
_atom_site_type_symbol
_atom_site_fract_x
_atom_site_fract_y
_atom_site_fract_z
_atom_site_occupancy
La1 La 0.000 0.000 0.000 1
La2 La 0.132 0.253 0.384 1
S1 S 0.071 0.157 0.700 1
S2 S 0.081 0.318 0.063 1
# Formation energy from raw total energies in eV per atom: -2.030

8.
# ScIn2Ru (PBE, optimized geometry)
data_ScIn2Ru
_symmetry_space_group_name_H-M 'P 4 m m'
_symmetry_Int_Tables_number 99
_cell_length_a 3.272
_cell_length_b 3.272
_cell_length_c 7.707
_cell_angle_alpha 90.00
_cell_angle_beta 90.00
_cell_angle_gamma 90.00
loop_
_symmetry_equiv_pos_as_xyz
'x,y,z'
'-y,x,z'
'-x,-y,z'
'y,-x,z'
'-x,y,z'
'y,x,z'
'x,-y,z'
'-y,-x,z'
loop_
_atom_site_label
_atom_site_type_symbol
_atom_site_fract_x
_atom_site_fract_y
_atom_site_fract_z
_atom_site_occupancy
Sc1 Sc 0.000 0.000 0.000 1
In1 In 0.000 0.000 0.600 1
In2 In 0.500 0.500 0.287 1
Ru1 Ru 0.500 0.500 0.808 1
# Formation energy in meV per atom: -231

9.
# Ca2AlGaSn (PBE, optimized geometry)
data_Ca2AlGaSn
_symmetry_space_group_name_H-M 'P 4/m m m'
_symmetry_Int_Tables_number 123
_symmetry_space_group_name_Hall '-P 4 2'
_cell_length_a 5.773
_cell_length_b 5.773
_cell_length_c 5.140
_cell_angle_alpha 90.00
_cell_angle_beta 90.00
_cell_angle_gamma 90.00
loop_
_atom_site_label
_atom_site_type_symbol
_atom_site_fract_x
_atom_site_fract_y
_atom_site_fract_z
_atom_site_occupancy
Ca1 Ca 0.000 0.500 0.000 1
Al1 Al 0.000 0.000 0.000 1
Ga1 Ga 0.500 0.500 0.500 1
Sn1 Sn 0.000 0.000 0.500 1
# Formation energy in meV per atom: 199

10.
# Ta2NiRu2 (PBE, optimized geometry)
data_Ta2NiRu2
_symmetry_space_group_name_H-M 'P 4/m b m'
_symmetry_Int_Tables_number 127
_symmetry_space_group_name_Hall '-P 4 2ab'
_cell_length_a 7.261
_cell_length_b 7.261
_cell_length_c 3.065
_cell_angle_alpha 90.00
_cell_angle_beta 90.00
_cell_angle_gamma 90.00
loop_
_atom_site_label
_atom_site_type_symbol
_atom_site_fract_x
_atom_site_fract_y
_atom_site_fract_z
_atom_site_occupancy
Ta1 Ta 0.162 0.338 0.000 1
Ni1 Ni 0.000 0.000 0.500 1
Ru1 Ru 0.139 0.639 0.500 1
# Formation energy in meV per atom: -20

11.
# CuSiAg (PBE, optimized geometry)
data_CuSiAg
_symmetry_space_group_name_H-M 'I m m 2'
_symmetry_Int_Tables_number 44
_cell_length_a 2.834
_cell_length_b 3.692
_cell_length_c 8.583
_cell_angle_alpha 90.00
_cell_angle_beta 90.00
_cell_angle_gamma 90.00
loop_
_symmetry_equiv_pos_as_xyz
'x,y,z'
'-x,-y,z'
'-x,y,z'
'x,-y,z'
'x+1/2,y+1/2,z+1/2'
'-x+1/2,-y+1/2,z+1/2'
'-x+1/2,y+1/2,z+1/2'
'x+1/2,-y+1/2,z+1/2'
loop_
_atom_site_label
_atom_site_type_symbol
_atom_site_fract_x
_atom_site_fract_y
_atom_site_fract_z
_atom_site_occupancy
Cu1 Cu 0.000 0.000 0.000 1
Si1 Si 0.000 0.000 0.623 1
Ag1 Ag 0.000 0.000 0.315 1
# Formation energy from raw total energies in eV per atom: 0.196

12.
# Ti2Te6Pd (PBE, optimized geometry)
data_Ti2Te6Pd
_symmetry_space_group_name_H-M 'P 42/m n m'
_symmetry_Int_Tables_number 136
_symmetry_space_group_name_Hall '-P 4n 2n'
_cell_length_a 6.557
_cell_length_b 6.557
_cell_length_c 11.812
_cell_angle_alpha 90.00
_cell_angle_beta 90.00
_cell_angle_gamma 90.00
loop_
_atom_site_label
_atom_site_type_symbol
_atom_site_fract_x
_atom_site_fract_y
_atom_site_fract_z
_atom_site_occupancy
Ti1 Ti 0.000 0.000 0.156 1
Te1 Te 0.198 0.198 0.326 1
Te2 Te 0.209 0.209 0.000 1
Pd1 Pd 0.000 0.000 0.500 1
# Formation energy from raw total energies in eV per atom: -0.404

13.
# Tb4CdAg2 (PBE, optimized geometry)
data_Tb4CdAg2
_symmetry_space_group_name_H-M 'R -3 m'
_symmetry_Int_Tables_number 166
_symmetry_space_group_name_Hall '-R 3 2"'
_cell_length_a 5.1669
_cell_length_b 5.1669
_cell_length_c 24.7184
_cell_angle_alpha 90.00
_cell_angle_beta 90.00
_cell_angle_gamma 120.00
loop_
_atom_site_label
_atom_site_type_symbol
_atom_site_fract_x
_atom_site_fract_y
_atom_site_fract_z
_atom_site_occupancy
Tb1 Tb 0.0000 0.0000 0.1174 1
Tb2 Tb 0.0000 0.0000 0.3699 1
Cd1 Cd 0.0000 0.0000 0.5000 1
Ag1 Ag 0.0000 0.0000 0.2458 1
# Formation energy in meV per atom: -156

14.
# Mn2NbSbC (PBE, optimized geometry)
data_Mn2NbSbC
_symmetry_space_group_name_H-M 'P 4/m m m'
_symmetry_Int_Tables_number 123
_symmetry_space_group_name_Hall '-P 4 2'
_cell_length_a 3.960
_cell_length_b 3.960
_cell_length_c 4.393
_cell_angle_alpha 90.00
_cell_angle_beta 90.00
_cell_angle_gamma 90.00
loop_
_atom_site_label
_atom_site_type_symbol
_atom_site_fract_x
_atom_site_fract_y
_atom_site_fract_z
_atom_site_occupancy
Mn1 Mn 0.000 0.500 0.000 1
Nb1 Nb 0.000 0.000 0.500 1
Sb1 Sb 0.500 0.500 0.500 1
C1 C 0.000 0.000 0.000 1
# Formation energy from raw total energies in eV per atom: -0.014

15.
# TbPd8Pt4 (PBE, optimized geometry)
data_TbPd8Pt4
_symmetry_space_group_name_H-M 'I 4/m m m'
_symmetry_Int_Tables_number 139
_symmetry_space_group_name_Hall '-I 4 2'
_cell_length_a 9.117
_cell_length_b 9.117
_cell_length_c 5.302
_cell_angle_alpha 90.00
_cell_angle_beta 90.00
_cell_angle_gamma 90.00
loop_
_atom_site_label
_atom_site_type_symbol
_atom_site_fract_x
_atom_site_fract_y
_atom_site_fract_z
_atom_site_occupancy
Tb1 Tb 0.000 0.000 0.000 1
Pd1 Pd 0.000 0.217 0.500 1
Pd2 Pd 0.000 0.346 0.000 1
Pt1 Pt 0.250 0.250 0.250 1
# Formation energy in meV per atom: -281

16.
# Y8Te4As3N (PBE, optimized geometry)
data_Y8Te4As3N
_symmetry_space_group_name_H-M 'R -3 m'
_symmetry_Int_Tables_number 166
_symmetry_space_group_name_Hall '-R 3 2"'
_cell_length_a 8.2201
_cell_length_b 8.2201
_cell_length_c 21.1378
_cell_angle_alpha 90.00
_cell_angle_beta 90.00
_cell_angle_gamma 120.00
loop_
_atom_site_label
_atom_site_type_symbol
_atom_site_fract_x
_atom_site_fract_y
_atom_site_fract_z
_atom_site_occupancy
Y1 Y 0.0000 0.0000 0.2391 1
Y2 Y 0.0270 0.5135 0.2342 1
Te1 Te 0.0000 0.0000 0.0000 1
Te2 Te 0.0000 0.5000 0.0000 1
As1 As 0.0000 0.5000 0.5000 1
N1 N 0.0000 0.0000 0.5000 1
# Formation energy from raw total energies in eV per atom: -1.440

17.
# Te2RhS6 (PBE, optimized geometry)
data_Te2RhS6
_symmetry_space_group_name_H-M 'C 1 2/m 1'
_symmetry_Int_Tables_number 12
_cell_length_a 12.950
_cell_length_b 3.635
_cell_length_c 10.821
_cell_angle_alpha 90.00
_cell_angle_beta 116.59
_cell_angle_gamma 90.00
loop_
_symmetry_equiv_pos_as_xyz
'x,y,z'
'-x,-y,-z'
'-x,y,-z'
'x,-y,z'
'x+1/2,y+1/2,z'
'-x+1/2,-y+1/2,-z'
'-x+1/2,y+1/2,-z'
'x+1/2,-y+1/2,z'
loop_
_atom_site_label
_atom_site_type_symbol
_atom_site_fract_x
_atom_site_fract_y
_atom_site_fract_z
_atom_site_occupancy
Te1 Te 0.158 0.000 0.324 1
Rh1 Rh 0.000 0.500 0.000 1
S1 S 0.008 0.500 0.785 1
S2 S 0.136 0.000 0.081 1
S3 S 0.184 0.000 0.618 1
# Formation energy from raw total energies in eV per atom: -0.067

18.
# NdYTh (PBE, optimized geometry)
data_NdYTh
_symmetry_space_group_name_H-M 'P m m a'
_symmetry_Int_Tables_number 51
_cell_length_a 6.447
_cell_length_b 3.531
_cell_length_c 8.857
_cell_angle_alpha 90.00
_cell_angle_beta 90.00
_cell_angle_gamma 90.00
loop_
_symmetry_equiv_pos_as_xyz
'x,y,z'
'-x,-y,-z'
'-x+1/2,-y,z'
'x+1/2,y,-z'
'x+1/2,-y,-z'
'-x+1/2,y,z'
'-x,y,-z'
'x,-y,z'
loop_
_atom_site_label
_atom_site_type_symbol
_atom_site_fract_x
_atom_site_fract_y
_atom_site_fract_z
_atom_site_occupancy
Nd1 Nd 0.000 0.000 0.000 1
Y1 Y 0.250 0.500 0.311 1
Th1 Th 0.250 0.000 0.648 1
# Formation energy in meV per atom: 221

19.
# AcPr3Dy (PBE, optimized geometry)
data_AcPr3Dy
_symmetry_space_group_name_H-M 'P 1 21/c 1'
_symmetry_Int_Tables_number 14
_cell_length_a 6.375
_cell_length_b 7.067
_cell_length_c 17.483
_cell_angle_alpha 90.00
_cell_angle_beta 109.34
_cell_angle_gamma 90.00
loop_
_symmetry_equiv_pos_as_xyz
'x,y,z'
'-x,-y,-z'
'-x,y+1/2,-z+1/2'
'x,-y+1/2,z+1/2'
loop_
_atom_site_label
_atom_site_type_symbol
_atom_site_fract_x
_atom_site_fract_y
_atom_site_fract_z
_atom_site_occupancy
Ac1 Ac 0.048 0.065 0.343 1
Pr1 Pr 0.216 0.554 0.370 1
Pr2 Pr 0.220 0.165 0.057 1
Pr3 Pr 0.362 0.661 0.049 1
Dy1 Dy 0.456 0.629 0.746 1
# Formation energy in meV per atom: 82

20.
# AlCoAg2 (PBE, optimized geometry)
data_AlCoAg2
_symmetry_space_group_name_H-M 'I -4 m 2'
_symmetry_Int_Tables_number 119
_symmetry_space_group_name_Hall 'I -4 -2'
_cell_length_a 4.045
_cell_length_b 4.045
_cell_length_c 7.327
_cell_angle_alpha 90.00
_cell_angle_beta 90.00
_cell_angle_gamma 90.00
loop_
_atom_site_label
_atom_site_type_symbol
_atom_site_fract_x
_atom_site_fract_y
_atom_site_fract_z
_atom_site_occupancy
Al1 Al 0.000 0.000 0.000 1
Co1 Co 0.000 0.500 0.750 1
Ag1 Ag 0.000 0.000 0.500 1
Ag2 Ag 0.000 0.500 0.250 1
# Formation energy in meV per atom: 118

21.
# Pm2Te2S (PBE, optimized geometry)
data_Pm2Te2S
_symmetry_space_group_name_H-M 'I b a m'
_symmetry_Int_Tables_number 72
_symmetry_space_group_name_Hall '-I 2 2c'
_cell_length_a 8.124
_cell_length_b 12.010
_cell_length_c 6.498
_cell_angle_alpha 90.00
_cell_angle_beta 90.00
_cell_angle_gamma 90.00
loop_
_atom_site_label
_atom_site_type_symbol
_atom_site_fract_x
_atom_site_fract_y
_atom_site_fract_z
_atom_site_occupancy
Pm1 Pm 0.232 0.104 0.000 1
Te1 Te 0.130 0.356 0.000 1
S1 S 0.000 0.000 0.250 1
# Formation energy from raw total energies in eV per atom: -1.611

22.
# BSb2TeS (PBE, optimized geometry)
data_BSb2TeS
_symmetry_space_group_name_H-M 'P 4/m m m'
_symmetry_Int_Tables_number 123
_symmetry_space_group_name_Hall '-P 4 2'
_cell_length_a 4.907
_cell_length_b 4.907
_cell_length_c 4.712
_cell_angle_alpha 90.00
_cell_angle_beta 90.00
_cell_angle_gamma 90.00
loop_
_atom_site_label
_atom_site_type_symbol
_atom_site_fract_x
_atom_site_fract_y
_atom_site_fract_z
_atom_site_occupancy
B1 B 0.000 0.000 0.000 1
Sb1 Sb 0.000 0.500 0.000 1
Te1 Te 0.000 0.000 0.500 1
S1 S 0.500 0.500 0.500 1
# Formation energy from raw total energies in eV per atom: 0.830

23.
# AcPrCuGe (PBE, optimized geometry)
data_AcPrCuGe
_symmetry_space_group_name_H-M 'F -4 3 m'
_symmetry_Int_Tables_number 216
_symmetry_space_group_name_Hall 'F -4 2 3'
_cell_length_a 7.534
_cell_length_b 7.534
_cell_length_c 7.534
_cell_angle_alpha 90.00
_cell_angle_beta 90.00
_cell_angle_gamma 90.00
loop_
_atom_site_label
_atom_site_type_symbol
_atom_site_fract_x
_atom_site_fract_y
_atom_site_fract_z
_atom_site_occupancy
Ac1 Ac 0.000 0.000 0.000 1
Pr1 Pr 0.000 0.000 0.500 1
Cu1 Cu 0.250 0.250 0.250 1
Ge1 Ge 0.250 0.250 0.750 1
# Formation energy in meV per atom: -376